A plane-wave DFT calculation with GGA-PBE was carried out for MnV2C after structural relaxation.

Cell: 2.830 2.830 6.836 Å, 78.05 78.05 60.00°
Fractional positions:
V  0.892  0.892  0.325
V  0.108  0.108  0.675
C  0.500  0.500  0.500
Mn  0.000  0.000  0.000

Computed properties:
- E_form: 7 kJ per mole of atoms
- Total magnetic moment: 0.00 Bohr magnetons per cell
- Crystal system: trigonal
- Energy relative to the lowest polymorph listed for this composition: 14 meV per atom
- V: 11.51 Å³ per atom
- Space group: R-3m, No. 166